Entry 1:
Computed, not measured: ReTe2NO at its PBEsol-relaxed geometry at the meta-GGA SCAN level of DFT.

Values from the calculation:
As for the electronic total energy: -31.513 eV per atom.

Unit cell a=5.188 b=5.188 c=3.671 alpha=90.00 beta=90.00 gamma=90.00
Fractional coordinates of all 5 atoms:
Re 0.000 0.000 0.000
Te 0.000 0.500 0.000
Te 0.500 0.000 0.000
N 0.000 0.000 0.500
O 0.500 0.500 0.500

Entry 2:
Computed, not measured: CdReBr2 at its PBEsol-relaxed geometry at the meta-GGA SCAN level of DFT.

Values from the calculation:
As for the electronic total energy: -33.863 eV per atom. For the distance to the lowest polymorph of the same formula, the calculation gives 980 meV per atom.

Unit cell a=4.732 b=4.732 c=4.732 alpha=120.08 beta=120.08 gamma=89.85
Fractional coordinates of all 4 atoms:
Cd 0.000 0.000 0.000
Re 0.500 0.500 0.000
Br 0.250 0.750 0.500
Br 0.750 0.250 0.500

Entry 3:
Computed, not measured: BaNi2O at its PBEsol-relaxed geometry at the meta-GGA SCAN level of DFT.

Values from the calculation:
As for the electronic total energy: -18.847 eV per atom.

Unit cell a=4.345 b=4.345 c=4.345 alpha=60.00 beta=60.00 gamma=60.00
Fractional coordinates of all 4 atoms:
Ba 0.000 0.000 0.000
Ni 0.250 0.250 0.250
Ni 0.750 0.750 0.750
O 0.500 0.500 0.500

Entry 4:
Computed, not measured: BaCa3Hg at its PBEsol-relaxed geometry at the meta-GGA SCAN level of DFT.

Values from the calculation:
As for the electronic total energy: -27.628 eV per atom. For the formation energy, the calculation gives -28 kJ/mol of atoms.

Unit cell a=5.944 b=5.944 c=5.944 alpha=90.00 beta=90.00 gamma=90.00
Fractional coordinates of all 5 atoms:
Ba 0.000 0.000 0.000
Ca 0.000 0.500 0.500
Ca 0.500 0.000 0.500
Ca 0.500 0.500 0.000
Hg 0.500 0.500 0.500

Entry 5:
Computed, not measured: Na2LiB5P2O14 at its PBEsol-relaxed geometry at the meta-GGA SCAN level of DFT.

Values from the calculation:
As for the electronic total energy: -9.087 eV per atom.

Unit cell a=8.239 b=9.212 c=8.370 alpha=90.00 beta=115.76 gamma=90.00
Fractional coordinates of all 48 atoms:
Na 0.104 0.250 0.036
Na 0.338 0.250 0.461
Na 0.662 0.750 0.539
Na 0.896 0.750 0.964
Li 0.484 0.750 0.784
Li 0.516 0.250 0.216
B 0.085 0.750 0.617
B 0.110 0.250 0.699
B 0.221 0.750 0.404
B 0.234 0.750 0.956
B 0.448 0.250 0.849
B 0.552 0.750 0.151
B 0.766 0.250 0.044
B 0.779 0.250 0.596
B 0.890 0.750 0.301
B 0.915 0.250 0.383
P 0.347 0.558 0.227
P 0.347 0.942 0.227
P 0.653 0.058 0.773
P 0.653 0.442 0.773
O 0.038 0.750 0.268
O 0.089 0.250 0.524
O 0.089 0.750 0.780
O 0.202 0.618 0.048
O 0.202 0.882 0.048
O 0.234 0.750 0.584
O 0.272 0.250 0.843
O 0.316 0.618 0.387
O 0.316 0.882 0.387
O 0.345 0.105 0.233
O 0.345 0.395 0.233
O 0.414 0.750 0.972
O 0.466 0.118 0.748
O 0.466 0.382 0.748
O 0.534 0.618 0.252
O 0.534 0.882 0.252
O 0.586 0.250 0.028
O 0.655 0.605 0.767
O 0.655 0.895 0.767
O 0.684 0.118 0.613
O 0.684 0.382 0.613
O 0.728 0.750 0.157
O 0.766 0.250 0.416
O 0.798 0.118 0.952
O 0.798 0.382 0.952
O 0.911 0.250 0.220
O 0.911 0.750 0.476
O 0.962 0.250 0.732

Entry 6:
Computed, not measured: SiH2Rh2 at its PBEsol-relaxed geometry at the meta-GGA SCAN level of DFT.

Values from the calculation:
As for the electronic total energy: -17.123 eV per atom. For the distance to the lowest polymorph of the same formula, the calculation gives 134 meV per atom.

Unit cell a=5.676 b=5.676 c=2.872 alpha=90.00 beta=90.00 gamma=90.00
Fractional coordinates of all 10 atoms:
Si 0.000 0.000 0.000
Si 0.500 0.500 0.000
H 0.082 0.418 0.000
H 0.418 0.918 0.000
H 0.582 0.082 0.000
H 0.918 0.582 0.000
Rh 0.191 0.309 0.500
Rh 0.309 0.809 0.500
Rh 0.691 0.191 0.500
Rh 0.809 0.691 0.500

Entry 7:
Computed, not measured: TiZnSe2Br at its PBEsol-relaxed geometry at the meta-GGA SCAN level of DFT.

Values from the calculation:
As for the electronic total energy: -17.802 eV per atom.

Unit cell a=4.805 b=4.805 c=4.977 alpha=90.00 beta=90.00 gamma=90.00
Fractional coordinates of all 5 atoms:
Ti 0.000 0.000 0.000
Zn 0.500 0.500 0.500
Se 0.000 0.500 0.500
Se 0.500 0.000 0.500
Br 0.500 0.500 0.000

Entry 8:
Computed, not measured: CdPb2Au at its PBEsol-relaxed geometry at the meta-GGA SCAN level of DFT.

Values from the calculation:
As for the electronic total energy: -62.773 eV per atom. For the formation energy, the calculation gives 1 kJ/mol of atoms.

Unit cell a=8.796 b=8.796 c=8.796 alpha=24.40 beta=24.40 gamma=24.40
Fractional coordinates of all 4 atoms:
Cd 0.000 0.000 0.000
Pb 0.243 0.243 0.243
Pb 0.757 0.757 0.757
Au 0.500 0.500 0.500

Entry 9:
Computed, not measured: LiLa2Hg at its PBEsol-relaxed geometry at the meta-GGA SCAN level of DFT.

Values from the calculation:
As for the electronic total energy: -39.522 eV per atom. For the formation energy, the calculation gives -32 kJ/mol of atoms.

Unit cell a=4.868 b=6.544 c=6.544 alpha=31.35 beta=90.00 gamma=90.00
Fractional coordinates of all 4 atoms:
Li 0.000 0.000 0.000
La 0.000 0.278 0.278
La 0.500 0.606 0.606
Hg 0.500 0.885 0.885

Entry 10:
Computed, not measured: Y2Co5Si3 at its PBEsol-relaxed geometry at the meta-GGA SCAN level of DFT.

Values from the calculation:
As for the electronic total energy: -17.713 eV per atom.

Unit cell a=7.714 b=7.714 c=7.714 alpha=105.03 beta=89.35 gamma=138.76
Fractional coordinates of all 20 atoms:
Y 0.125 0.245 0.370
Y 0.375 0.745 0.119
Y 0.625 0.255 0.881
Y 0.875 0.755 0.630
Co 0.008 0.750 0.258
Co 0.127 0.873 0.000
Co 0.250 0.750 0.500
Co 0.373 0.373 0.746
Co 0.492 0.750 0.742
Co 0.508 0.250 0.258
Co 0.627 0.627 0.254
Co 0.750 0.250 0.500
Co 0.873 0.127 0.000
Co 0.992 0.250 0.742
Si 0.121 0.631 0.752
Si 0.250 0.250 0.000
Si 0.379 0.131 0.510
Si 0.621 0.869 0.490
Si 0.750 0.750 0.000
Si 0.879 0.369 0.248

Entry 11:
Computed, not measured: Na2Ga2Sn at its PBEsol-relaxed geometry at the meta-GGA SCAN level of DFT.

Values from the calculation:
As for the electronic total energy: -15.558 eV per atom. For the formation energy, the calculation gives -14 kJ/mol of atoms.

Unit cell a=7.021 b=7.021 c=4.858 alpha=90.00 beta=90.00 gamma=90.00
Fractional coordinates of all 10 atoms:
Na 0.177 0.323 0.000
Na 0.323 0.823 0.000
Na 0.677 0.177 0.000
Na 0.823 0.677 0.000
Ga 0.126 0.626 0.500
Ga 0.374 0.126 0.500
Ga 0.626 0.874 0.500
Ga 0.874 0.374 0.500
Sn 0.000 0.000 0.500
Sn 0.500 0.500 0.500

Entry 12:
Computed, not measured: Zn2TcPd at its PBEsol-relaxed geometry at the meta-GGA SCAN level of DFT.

Values from the calculation:
As for the electronic total energy: -23.746 eV per atom. For the formation energy, the calculation gives -3 kJ/mol of atoms.

Unit cell a=4.264 b=4.264 c=4.264 alpha=60.00 beta=60.00 gamma=60.00
Fractional coordinates of all 4 atoms:
Zn 0.250 0.250 0.250
Zn 0.750 0.750 0.750
Tc 0.000 0.000 0.000
Pd 0.500 0.500 0.500